No. 1
A plane-wave DFT calculation with PBE was carried out for Cs2CdIn2 after structural relaxation. Values from VASP.

D(E_F) (states/eV per atom): 0.565
Offset from the most stable computed form (kJ/mol of atoms): 0.6
ΔH_f (0 K) (eV per formula unit): -0.14
Space-group type: No. 12

```
&SYSTEM
  ibrav = 0, nat = 10, ntyp = 3
/
ATOMIC_SPECIES
Cs 132.91 Cs.upf
Cd 112.41 Cd.upf
In 114.82 In.upf
CELL_PARAMETERS angstrom
9.926 0.000 -0.932
4.963 5.204 -0.466
2.933 0.000 8.701
ATOMIC_POSITIONS crystal
Cs 0.627 0.381 0.691
Cs 0.373 0.619 0.309
Cs 0.008 0.619 0.691
Cs 0.992 0.381 0.309
Cd 0.242 0.517 0.000
Cd 0.758 0.483 0.000
In 0.882 0.000 0.168
In 0.605 0.000 0.093
In 0.395 0.000 0.907
In 0.118 0.000 0.832
```


No. 2
A plane-wave DFT calculation with PBE was carried out for CsCd5In after structural relaxation. Values from VASP.

D(E_F) (states/eV per atom): 0.414
ΔH_f (0 K) (eV per formula unit): -0.16
Space-group type: No. 62

```
&SYSTEM
  ibrav = 0, nat = 28, ntyp = 3
/
ATOMIC_SPECIES
Cs 132.91 Cs.upf
Cd 112.41 Cd.upf
In 114.82 In.upf
CELL_PARAMETERS angstrom
6.441 0.000 0.000
0.000 9.939 0.000
0.000 0.000 12.500
ATOMIC_POSITIONS crystal
Cs 0.250 0.239 0.941
Cs 0.750 0.261 0.441
Cs 0.250 0.739 0.559
Cs 0.750 0.761 0.059
Cd 0.250 0.585 0.023
Cd 0.750 0.915 0.523
Cd 0.250 0.085 0.477
Cd 0.750 0.415 0.977
Cd 0.750 0.321 0.745
Cd 0.250 0.179 0.245
Cd 0.750 0.821 0.755
Cd 0.250 0.679 0.255
Cd 0.250 0.925 0.098
Cd 0.750 0.575 0.598
Cd 0.250 0.425 0.402
Cd 0.750 0.075 0.902
Cd 0.986 0.427 0.189
Cd 0.014 0.073 0.689
Cd 0.514 0.927 0.311
Cd 0.486 0.573 0.811
Cd 0.014 0.573 0.811
Cd 0.986 0.927 0.311
Cd 0.486 0.073 0.689
Cd 0.514 0.427 0.189
In 0.250 0.861 0.857
In 0.750 0.639 0.357
In 0.250 0.361 0.643
In 0.750 0.139 0.143
```


No. 3
A plane-wave DFT calculation with PBE was carried out for Cs2Cd15In2 after structural relaxation. Values from VASP.

D(E_F) (states/eV per atom): 0.375
ΔH_f (0 K) (eV per formula unit): -0.69
Space-group type: No. 166

```
&SYSTEM
  ibrav = 0, nat = 19, ntyp = 3
/
ATOMIC_SPECIES
Cs 132.91 Cs.upf
Cd 112.41 Cd.upf
In 114.82 In.upf
CELL_PARAMETERS angstrom
8.036 -0.118 -0.105
0.926 7.984 -0.105
0.926 0.812 7.943
ATOMIC_POSITIONS crystal
Cs 0.345 0.345 0.345
Cs 0.655 0.655 0.655
Cd 0.500 0.000 0.000
Cd 0.000 0.000 0.500
Cd 0.000 0.500 0.000
Cd 0.000 0.703 0.297
Cd 0.703 0.297 0.000
Cd 0.297 0.000 0.703
Cd 0.297 0.703 0.000
Cd 0.703 0.000 0.297
Cd 0.000 0.297 0.703
Cd 0.153 0.651 0.651
Cd 0.651 0.651 0.153
Cd 0.651 0.153 0.651
Cd 0.847 0.349 0.349
Cd 0.349 0.349 0.847
Cd 0.349 0.847 0.349
In 0.100 0.100 0.100
In 0.900 0.900 0.900
```


No. 4
A plane-wave DFT calculation with PBE was carried out for CsCd2In6 after structural relaxation. Values from VASP.

D(E_F) (states/eV per atom): 0.603
ΔH_f (0 K) (eV per formula unit): -0.43
Space-group type: No. 123

```
&SYSTEM
  ibrav = 0, nat = 9, ntyp = 3
/
ATOMIC_SPECIES
Cs 132.91 Cs.upf
Cd 112.41 Cd.upf
In 114.82 In.upf
CELL_PARAMETERS angstrom
5.498 0.000 0.000
0.000 5.498 0.000
0.000 0.000 9.217
ATOMIC_POSITIONS crystal
Cs 0.000 0.000 0.000
Cd 0.500 0.500 0.155
Cd 0.500 0.500 0.845
In 0.000 0.500 0.317
In 0.500 0.000 0.317
In 0.000 0.500 0.683
In 0.500 0.000 0.683
In 0.500 0.500 0.500
In 0.000 0.000 0.500
```


No. 5
A plane-wave DFT calculation with PBE was carried out for CsCd3In after structural relaxation. Values from VASP.

D(E_F) (states/eV per atom): 0.440
Offset from the most stable computed form (kJ/mol of atoms): 9.4
ΔH_f (0 K) (eV per formula unit): 0.30
Space-group type: No. 221

```
&SYSTEM
  ibrav = 0, nat = 5, ntyp = 3
/
ATOMIC_SPECIES
Cs 132.91 Cs.upf
Cd 112.41 Cd.upf
In 114.82 In.upf
CELL_PARAMETERS angstrom
-5.128 0.347 2.652
2.309 -2.320 4.769
1.350 5.287 1.918
ATOMIC_POSITIONS crystal
Cs 0.500 0.500 0.500
Cd 0.000 0.500 0.000
Cd 0.000 0.000 0.500
Cd 0.500 0.000 0.000
In 0.000 0.000 0.000
```


No. 6
A plane-wave DFT calculation with PBE was carried out for CsCd2In3 after structural relaxation. Values from VASP.

D(E_F) (states/eV per atom): 0.406
Offset from the most stable computed form (kJ/mol of atoms): 0.7
ΔH_f (0 K) (eV per formula unit): -0.27
Space-group type: No. 12

```
&SYSTEM
  ibrav = 0, nat = 12, ntyp = 3
/
ATOMIC_SPECIES
Cs 132.91 Cs.upf
Cd 112.41 Cd.upf
In 114.82 In.upf
CELL_PARAMETERS angstrom
-3.734 -1.134 -3.526
-3.896 -4.687 5.633
-1.044 9.650 1.923
ATOMIC_POSITIONS crystal
Cs 0.107 0.151 0.213
Cs 0.893 0.849 0.787
Cd 0.508 0.701 0.015
Cd 0.492 0.299 0.985
Cd 0.238 0.703 0.477
Cd 0.762 0.297 0.523
In 0.685 0.899 0.370
In 0.077 0.651 0.154
In 0.338 0.492 0.676
In 0.662 0.508 0.324
In 0.923 0.349 0.846
In 0.315 0.101 0.630
```


No. 7
A plane-wave DFT calculation with PBE was carried out for CsCd2In3 after structural relaxation. Values from VASP.

D(E_F) (states/eV per atom): 0.554
Offset from the most stable computed form (kJ/mol of atoms): 0.0
ΔH_f (0 K) (eV per formula unit): -0.31
Space-group type: No. 191

```
&SYSTEM
  ibrav = 0, nat = 6, ntyp = 3
/
ATOMIC_SPECIES
Cs 132.91 Cs.upf
Cd 112.41 Cd.upf
In 114.82 In.upf
CELL_PARAMETERS angstrom
4.966 0.000 0.000
0.000 6.598 0.000
0.000 -3.299 5.714
ATOMIC_POSITIONS crystal
Cs 0.000 0.000 0.000
Cd 0.000 0.333 0.667
Cd 0.000 0.667 0.333
In 0.500 0.500 0.000
In 0.500 0.500 0.500
In 0.500 0.000 0.500
```


No. 8
A plane-wave DFT calculation with PBE was carried out for CsCdIn2Ir after structural relaxation. Values from VASP.

D(E_F) (states/eV per atom): 0.211
ΔH_f (0 K) (eV per formula unit): -0.83
Space-group type: No. 123

```
&SYSTEM
  ibrav = 0, nat = 5, ntyp = 4
/
ATOMIC_SPECIES
Cs 132.91 Cs.upf
Cd 112.41 Cd.upf
Ir 192.22 Ir.upf
In 114.82 In.upf
CELL_PARAMETERS angstrom
-1.918 1.081 4.776
4.656 -1.186 2.138
1.580 5.216 -0.546
ATOMIC_POSITIONS crystal
Cs 0.500 0.500 0.500
Cd 0.000 0.000 0.500
Ir 0.000 0.000 0.000
In 0.000 0.500 0.000
In 0.500 0.000 0.000
```


No. 9
A plane-wave DFT calculation with PBE was carried out for Cs2KCdIn after structural relaxation. Values from VASP.

D(E_F) (states/eV per atom): 0.876
Offset from the most stable computed form (kJ/mol of atoms): 0.0
ΔH_f (0 K) (eV per formula unit): 0.47
Space-group type: No. 123

```
&SYSTEM
  ibrav = 0, nat = 5, ntyp = 4
/
ATOMIC_SPECIES
Cs 132.91 Cs.upf
K 39.10 K.upf
Cd 112.41 Cd.upf
In 114.82 In.upf
CELL_PARAMETERS angstrom
-6.113 2.589 3.802
3.405 -1.702 6.635
2.297 5.197 0.154
ATOMIC_POSITIONS crystal
Cs 0.000 0.500 0.000
Cs 0.500 0.000 0.000
K 0.500 0.500 0.500
Cd 0.000 0.000 0.500
In 0.000 0.000 0.000
```


No. 10
A plane-wave DFT calculation with PBE was carried out for Cs2KCdIn after structural relaxation. Values from VASP.

D(E_F) (states/eV per atom): 0.875
Offset from the most stable computed form (kJ/mol of atoms): 24.1
ΔH_f (0 K) (eV per formula unit): 1.72
Space-group type: No. 123

```
&SYSTEM
  ibrav = 0, nat = 5, ntyp = 4
/
ATOMIC_SPECIES
Cs 132.91 Cs.upf
K 39.10 K.upf
Cd 112.41 Cd.upf
In 114.82 In.upf
CELL_PARAMETERS angstrom
-4.152 0.515 4.594
4.175 -2.235 4.024
1.779 5.173 1.028
ATOMIC_POSITIONS crystal
Cs 0.000 0.500 0.000
Cs 0.500 0.000 0.000
K 0.500 0.500 0.500
Cd 0.000 0.000 0.000
In 0.000 0.000 0.500
```


No. 11
A plane-wave DFT calculation with PBE was carried out for CsKCdIn2 after structural relaxation. Values from VASP.

D(E_F) (states/eV per atom): 0.618
ΔH_f (0 K) (eV per formula unit): 0.41
Space-group type: No. 123

```
&SYSTEM
  ibrav = 0, nat = 5, ntyp = 4
/
ATOMIC_SPECIES
Cs 132.91 Cs.upf
K 39.10 K.upf
Cd 112.41 Cd.upf
In 114.82 In.upf
CELL_PARAMETERS angstrom
-5.073 -0.866 2.553
-2.895 -0.269 -5.843
0.880 -5.674 -0.175
ATOMIC_POSITIONS crystal
Cs 0.500 0.500 0.500
K 0.000 0.500 0.000
Cd 0.000 0.000 0.000
In 0.000 0.000 0.500
In 0.500 0.000 0.000
```


No. 12
A plane-wave DFT calculation with PBE was carried out for CsLa2CdIn after structural relaxation. Values from VASP.

D(E_F) (states/eV per atom): 1.396
ΔH_f (0 K) (eV per formula unit): 1.59
Space-group type: No. 123

```
&SYSTEM
  ibrav = 0, nat = 5, ntyp = 4
/
ATOMIC_SPECIES
Cs 132.91 Cs.upf
Cd 112.41 Cd.upf
In 114.82 In.upf
La 138.91 La.upf
CELL_PARAMETERS angstrom
6.237 0.000 0.000
0.000 5.631 0.000
0.000 0.000 6.237
ATOMIC_POSITIONS crystal
Cs 0.500 0.500 0.500
Cd 0.000 0.500 0.000
In 0.000 0.000 0.000
La 0.000 0.000 0.500
La 0.500 0.000 0.000
```


No. 13
A plane-wave DFT calculation with PBE was carried out for CsMgCd2In4 after structural relaxation. Values from VASP.

D(E_F) (states/eV per atom): 0.413
ΔH_f (0 K) (eV per formula unit): -0.43
Space-group type: No. 166

```
&SYSTEM
  ibrav = 0, nat = 8, ntyp = 4
/
ATOMIC_SPECIES
Cs 132.91 Cs.upf
Mg 24.30 Mg.upf
Cd 112.41 Cd.upf
In 114.82 In.upf
CELL_PARAMETERS angstrom
5.033 0.000 0.000
2.516 4.358 0.000
2.516 1.453 11.638
ATOMIC_POSITIONS crystal
Cs 0.000 0.000 0.000
Mg 0.500 0.500 0.500
Cd 0.769 0.769 0.694
Cd 0.231 0.231 0.306
In 0.410 0.410 0.770
In 0.867 0.867 0.398
In 0.133 0.133 0.602
In 0.590 0.590 0.230
```


No. 14
A plane-wave DFT calculation with PBE was carried out for CsNa2CdIn after structural relaxation. Values from VASP.

D(E_F) (states/eV per atom): 0.390
Offset from the most stable computed form (kJ/mol of atoms): 0.0
ΔH_f (0 K) (eV per formula unit): -0.08
Space-group type: No. 123

```
&SYSTEM
  ibrav = 0, nat = 5, ntyp = 4
/
ATOMIC_SPECIES
Cs 132.91 Cs.upf
Na 22.99 Na.upf
Cd 112.41 Cd.upf
In 114.82 In.upf
CELL_PARAMETERS angstrom
6.116 0.000 0.000
0.000 6.116 0.000
0.000 0.000 5.801
ATOMIC_POSITIONS crystal
Cs 0.500 0.500 0.500
Na 0.000 0.500 0.000
Na 0.500 0.000 0.000
Cd 0.000 0.000 0.500
In 0.000 0.000 0.000
```


No. 15
A plane-wave DFT calculation with PBE was carried out for CsNa2Cd2In2 after structural relaxation. Values from VASP.

D(E_F) (states/eV per atom): 0.360
ΔH_f (0 K) (eV per formula unit): -0.75
Space-group type: No. 12

```
&SYSTEM
  ibrav = 0, nat = 7, ntyp = 4
/
ATOMIC_SPECIES
Cs 132.91 Cs.upf
Na 22.99 Na.upf
Cd 112.41 Cd.upf
In 114.82 In.upf
CELL_PARAMETERS angstrom
5.265 0.000 0.000
-2.632 4.543 -0.351
0.000 -2.301 10.058
ATOMIC_POSITIONS crystal
Cs 0.000 0.000 0.000
Na 0.136 0.273 0.411
Na 0.864 0.727 0.589
Cd 0.757 0.515 0.275
Cd 0.243 0.485 0.725
In 0.557 0.113 0.668
In 0.443 0.887 0.332
```


No. 16
A plane-wave DFT calculation with PBE was carried out for CsNa2CdIn after structural relaxation. Values from VASP.

D(E_F) (states/eV per atom): 0.274
Offset from the most stable computed form (kJ/mol of atoms): 2.1
ΔH_f (0 K) (eV per formula unit): 0.03
Space-group type: No. 123

```
&SYSTEM
  ibrav = 0, nat = 5, ntyp = 4
/
ATOMIC_SPECIES
Cs 132.91 Cs.upf
Na 22.99 Na.upf
Cd 112.41 Cd.upf
In 114.82 In.upf
CELL_PARAMETERS angstrom
6.085 0.000 0.000
0.000 6.085 0.000
0.000 0.000 5.685
ATOMIC_POSITIONS crystal
Cs 0.500 0.500 0.500
Na 0.000 0.500 0.000
Na 0.500 0.000 0.000
Cd 0.000 0.000 0.000
In 0.000 0.000 0.500
```


No. 17
A plane-wave DFT calculation with PBE was carried out for CsNaCdIn2 after structural relaxation. Values from VASP.

D(E_F) (states/eV per atom): 0.635
ΔH_f (0 K) (eV per formula unit): 0.33
Space-group type: No. 123

```
&SYSTEM
  ibrav = 0, nat = 5, ntyp = 4
/
ATOMIC_SPECIES
Cs 132.91 Cs.upf
Na 22.99 Na.upf
Cd 112.41 Cd.upf
In 114.82 In.upf
CELL_PARAMETERS angstrom
-2.614 1.927 -4.684
-4.623 -3.060 1.322
-2.196 4.680 3.151
ATOMIC_POSITIONS crystal
Cs 0.500 0.500 0.500
Na 0.000 0.000 0.500
Cd 0.000 0.000 0.000
In 0.000 0.500 0.000
In 0.500 0.000 0.000
```


No. 18
A plane-wave DFT calculation with PBE was carried out for CsCdIn2Ni after structural relaxation. Values from VASP.

D(E_F) (states/eV per atom): 0.509
ΔH_f (0 K) (eV per formula unit): -0.08
Space-group type: No. 123

```
&SYSTEM
  ibrav = 0, nat = 5, ntyp = 4
/
ATOMIC_SPECIES
Cs 132.91 Cs.upf
Ni 58.69 Ni.upf
Cd 112.41 Cd.upf
In 114.82 In.upf
CELL_PARAMETERS angstrom
5.158 0.000 0.000
0.000 5.158 0.000
0.000 0.000 5.379
ATOMIC_POSITIONS crystal
Cs 0.500 0.500 0.500
Ni 0.000 0.000 0.000
Cd 0.000 0.000 0.500
In 0.000 0.500 0.000
In 0.500 0.000 0.000
```


No. 19
A plane-wave DFT calculation with PBE was carried out for CsCdInO3 after structural relaxation. Values from VASP.

Formation energy (no corrections) (eV per formula unit): -7.337
Space-group type: No. 11

```
&SYSTEM
  ibrav = 0, nat = 12, ntyp = 4
/
ATOMIC_SPECIES
Cs 132.91 Cs.upf
Cd 112.41 Cd.upf
In 114.82 In.upf
O 16.00 O.upf
CELL_PARAMETERS angstrom
3.409 0.000 0.000
0.000 8.042 0.060
0.000 -1.979 9.785
ATOMIC_POSITIONS crystal
Cs 0.250 0.166 0.219
Cs 0.750 0.834 0.781
Cd 0.250 0.146 0.588
Cd 0.750 0.854 0.412
In 0.250 0.621 0.117
In 0.750 0.379 0.883
O 0.750 0.788 0.184
O 0.250 0.212 0.816
O 0.250 0.844 0.547
O 0.750 0.156 0.453
O 0.750 0.434 0.104
O 0.250 0.566 0.896
```


No. 20
A plane-wave DFT calculation with PBE was carried out for Cs2CdInOs after structural relaxation. Values from VASP.

D(E_F) (states/eV per atom): 1.784
ΔH_f (0 K) (eV per formula unit): 7.06
Space-group type: No. 123

```
&SYSTEM
  ibrav = 0, nat = 5, ntyp = 4
/
ATOMIC_SPECIES
Cs 132.91 Cs.upf
Cd 112.41 Cd.upf
Os 190.23 Os.upf
In 114.82 In.upf
CELL_PARAMETERS angstrom
7.271 0.000 0.000
0.000 5.324 0.000
0.000 0.000 7.271
ATOMIC_POSITIONS crystal
Cs 0.000 0.000 0.500
Cs 0.500 0.000 0.000
Cd 0.000 0.500 0.000
Os 0.500 0.500 0.500
In 0.000 0.000 0.000
```


Record order is preserved below.
M_tot: 0.0; 0.0; 0.0; 0.0; 0.0; 0.0; 0.0; 0.0; 0.0; 0.4; 0.0; 0.0; 0.0; 0.0; 0.0; 0.0; 0.0; 0.0; 0.0; 3.1 μB per formula unit
Record order is preserved below.
Calculated volume: 464; 800; 512; 279; 193; 385; 187; 151; 333; 215; 215; 219; 255; 217; 236; 211; 197; 143; 269; 281 Å³/cell